1.
Computed, not measured: a relaxed structure of HfNbMo at the PBE level of DFT.

Properties
M_tot in μB/f.u.: 0.00
Calculated volume in Å³/atom: 18.5
DFT formation energy in eV per atom: -0.08

The structure in POSCAR format:
```
HfNbMo
1.0
3.298 0.000 0.000
0.000 3.298 0.000
-1.649 -1.649 5.097
Mo Hf Nb
1 1 1
direct
0.941 0.941 0.881
0.610 0.610 0.220
0.300 0.300 0.599
```

=====

2.
Computed, not measured: a relaxed structure of EuSc2Ti at the PBE level of DFT.

Properties
M_tot in μB/f.u.: 8.01
Calculated volume in Å³/atom: 25.4
DFT formation energy in eV per atom: 0.17

The structure in POSCAR format:
```
EuSc2Ti
1.0
3.272 0.000 0.000
0.000 3.272 0.000
0.000 0.000 9.498
Eu Sc Ti
1 2 1
direct
0.500 0.500 0.500
0.000 0.000 0.202
0.000 0.000 0.798
0.500 0.500 0.000
```

=====

> Number 2 is which compound?

EuSc2Ti